Entry from the Alexandria database: SmErGaGe after structural relaxation (GGA-PBE).

Cell: 4.352 4.025 5.860 Å, 90.00 111.80 90.00°
Sites, in units of the cell vectors:
Er1 0.861 0.500 0.723
Ge1 0.421 0.000 0.841
Ga1 0.577 0.500 0.154
Sm1 0.141 0.000 0.282

space-group type	Amm2 (38)
energy of formation from the pure elements	-774	meV/atom
spin magnetization	0.0	Bohr magnetons per cell

***

Entry from the Alexandria database: SmErGaGe after structural relaxation (GGA-PBE).

Cell: 5.089 5.089 5.089 Å, 60.00 60.00 60.00°
Sites, in units of the cell vectors:
Ge1 0.250 0.250 0.250
Er1 0.500 0.500 0.500
Ga1 0.750 0.750 0.750
Sm1 0.000 0.000 0.000

space-group type	F-43m (216)
energy of formation from the pure elements	-568	meV/atom
spin magnetization	0.0	Bohr magnetons per cell

***

Entry from the Alexandria database: TbErGaGe after structural relaxation (GGA-PBE).

Cell: 4.312 3.996 5.798 Å, 90.00 111.83 90.00°
Sites, in units of the cell vectors:
Tb1 0.140 0.000 0.280
Ge1 0.420 0.000 0.840
Er1 0.861 0.500 0.721
Ga1 0.579 0.500 0.159

space-group type	Amm2 (38)
energy of formation from the pure elements	-788	meV/atom
spin magnetization	0.0	Bohr magnetons per cell

***

Entry from the Alexandria database: TbErGaGe after structural relaxation (GGA-PBE).

Cell: 5.046 5.046 5.046 Å, 60.00 60.00 60.00°
Sites, in units of the cell vectors:
Ga1 0.750 0.750 0.750
Tb1 0.000 0.000 0.000
Ge1 0.250 0.250 0.250
Er1 0.500 0.500 0.500

space-group type	F-43m (216)
energy of formation from the pure elements	-575	meV/atom
spin magnetization	0.0	Bohr magnetons per cell

***

Calculated excess energy over the best structure of this formula in the dataset (meV per atom), listed in the same order as above: 0 206 0 213